An optimized crystal structure of P2OsSe, computed with GGA-PBE.

Computed properties:
Total magnetization ... 0.00 μB per atom
SG ... R-3m
Electronic total energy ... -6.13 eV per atom
Energy relative to the elements, uncorrected ... 0.253 eV/atom

Cell and atoms, written as extended XYZ:
```
4
Lattice="-6.105 -3.513 -1.070 -4.534 -3.858 -3.914 -3.834 -5.837 -1.411" Properties=species:S:1:pos:R:3 pbc="T T T"
Os -10.855 -9.906 -4.797
P -0.107 -0.097 -0.047
P -7.130 -6.507 -3.151
Se -3.618 -3.302 -1.599
```

---

An optimized crystal structure of ErPaAgAu, computed with GGA-PBE.

Computed properties:
Total magnetization ... 0.15 μB per atom
Calculated formation energy ... -0.177 eV per atom
SG ... F-43m
Electronic total energy ... -5.22 eV per atom

Cell and atoms, written as extended XYZ:
```
4
Lattice="5.100 0.000 0.000 2.550 4.417 0.000 2.550 1.472 4.164" Properties=species:S:1:pos:R:3 pbc="T T T"
Pa 0.000 0.000 0.000
Au 2.550 1.472 1.041
Ag 7.650 4.417 3.123
Er 5.100 2.944 2.082
```

---

An optimized crystal structure of Sr2BePb, computed with GGA-PBE.

Computed properties:
Total magnetization ... 0.00 μB per atom
Calculated formation energy ... -0.088 eV per atom
SG ... Amm2
Offset from the most stable computed form ... 0 meV per atom
Electronic total energy ... -2.79 eV per atom

Cell and atoms, written as extended XYZ:
```
4
Lattice="4.484 0.000 0.000 0.000 4.891 0.003 0.000 2.448 6.023" Properties=species:S:1:pos:R:3 pbc="T T T"
Pb 2.242 4.587 4.460
Sr 0.000 7.032 5.465
Sr 2.242 2.141 2.024
Be 0.000 4.587 3.117
```

---

An optimized crystal structure of CuRe2Pb, computed with GGA-PBE.

Computed properties:
Total magnetization ... 0.00 μB per atom
Calculated formation energy ... 0.862 eV per atom
SG ... Immm
Offset from the most stable computed form ... 379 meV per atom
Electronic total energy ... -7.31 eV per atom

Cell and atoms, written as extended XYZ:
```
4
Lattice="-3.445 -3.644 2.354 -2.433 -3.907 -3.083 4.643 2.295 1.966" Properties=species:S:1:pos:R:3 pbc="T T T"
Cu -0.870 -2.563 1.978
Pb -0.365 -2.694 -0.740
Re -5.796 -7.447 -0.719
Re -3.020 -3.880 -0.375
```

---

An optimized crystal structure of Tm3GaS2, computed with GGA-PBE.

Computed properties:
Total magnetization ... 0.00 μB per atom
SG ... Immm
Electronic total energy ... -5.62 eV per atom
Energy relative to the elements, uncorrected ... -1.508 eV/atom

Cell and atoms, written as extended XYZ:
```
6
Lattice="-2.768 1.815 1.903 -3.603 -4.041 -1.387 4.661 -1.936 4.790" Properties=species:S:1:pos:R:3 pbc="T T T"
Tm -3.186 -1.113 0.258
Tm 0.509 -1.053 1.745
Tm -2.220 -3.108 3.561
Ga -1.384 0.907 0.952
S -1.310 -3.037 0.991
S -0.401 -1.124 4.315
```

---

An optimized crystal structure of Ga3Pb5Br12, computed with GGA-PBE.

Computed properties:
Total magnetization ... 0.00 μB per atom
SG ... Ia-3d
Electronic total energy ... -3.02 eV per atom
Energy relative to the elements, uncorrected ... -0.638 eV/atom

Cell and atoms, written as extended XYZ:
```
80
Lattice="16.000 0.000 0.000 -5.333 15.085 0.000 -5.333 -7.542 13.064" Properties=species:S:1:pos:R:3 pbc="T T T"
Ga 9.333 4.714 1.633
Ga 9.333 10.371 1.633
Ga -1.333 6.600 8.165
Ga 1.333 -0.943 4.899
Ga 12.000 0.000 3.266
Ga 1.333 7.542 3.266
Ga 4.000 0.000 9.798
Ga -6.667 7.542 9.798
Ga 4.000 8.485 8.165
Ga 6.667 0.943 4.899
Ga -4.000 -2.828 11.431
Ga -4.000 2.828 11.431
Pb -1.333 3.771 3.266
Pb -2.667 7.542 0.000
Pb 0.000 0.000 0.000
Pb 4.000 2.828 1.633
Pb 5.333 -3.771 6.532
Pb 5.333 7.542 0.000
Pb -4.000 8.485 4.899
Pb 6.667 -4.714 11.431
Pb 6.667 6.600 4.899
Pb 1.333 -3.771 9.798
Pb 4.000 11.313 3.266
Pb 2.667 3.771 6.532
Pb 8.000 0.000 0.000
Pb -2.667 -3.771 6.532
Pb -1.333 0.943 8.165
Pb -1.333 12.256 1.633
Pb -5.333 3.771 6.532
Pb 9.333 -0.943 8.165
Pb 1.333 4.714 11.431
Pb 6.667 3.771 9.798
Br 10.621 1.502 0.594
Br 0.045 5.037 5.528
Br 11.763 3.584 3.660
Br 6.903 2.393 1.598
Br 2.124 5.772 8.809
Br 11.266 7.387 2.277
Br -1.097 8.733 5.259
Br -4.237 12.692 1.598
Br 0.542 9.312 8.809
Br 7.401 7.698 2.277
Br 8.045 4.007 4.934
Br 8.045 13.582 0.594
Br -4.791 6.744 7.126
Br 3.266 5.648 1.273
Br -5.378 11.077 4.934
Br 2.712 -2.505 7.536
Br -0.542 0.971 2.871
Br 3.266 9.592 1.004
Br 6.903 11.501 3.660
Br -0.599 5.493 1.004
Br -3.209 8.514 10.192
Br 3.763 6.352 5.259
Br 7.457 8.341 7.126
Br 5.932 -1.894 11.790
Br 1.570 1.191 7.805
Br -2.124 -0.799 5.937
Br -0.599 9.436 1.273
Br -1.570 -3.959 9.403
Br 8.542 -0.971 2.871
Br 5.932 2.050 12.060
Br 2.067 -2.050 12.060
Br 2.622 10.048 5.528
Br 5.876 6.571 10.192
Br 10.711 -3.535 8.130
Br 10.124 0.799 5.937
Br -2.712 -6.040 12.469
Br 2.067 1.894 11.790
Br 4.791 -1.770 4.255
Br -2.067 -0.156 10.787
Br -2.712 3.535 8.130
Br 9.570 -5.149 11.465
Br 6.430 -1.191 7.805
Br -1.570 5.149 11.465
Br -5.932 0.156 10.787
Br 3.209 1.770 4.255
Br -6.430 3.959 9.403
Br 5.288 2.505 7.536
Br -5.288 6.040 12.469
```

---

An optimized crystal structure of Na2CaH4, computed with GGA-PBE.

Computed properties:
Total magnetization ... 0.00 μB per atom
SG ... P4_122
Offset from the most stable computed form ... 0 meV per atom
Electronic total energy ... -2.88 eV per atom

Cell and atoms, written as extended XYZ:
```
28
Lattice="6.841 0.000 0.000 0.000 6.841 0.000 0.000 0.000 9.631" Properties=species:S:1:pos:R:3 pbc="T T T"
Na 5.178 5.178 8.427
Na 1.662 5.178 1.204
Na 5.178 1.662 6.019
Na 1.662 1.662 3.611
Na 4.953 3.420 2.408
Na 3.420 1.888 0.000
Na 3.420 4.953 4.815
Na 1.888 3.420 7.223
Ca 0.000 5.003 4.815
Ca 1.838 0.000 7.223
Ca 5.003 0.000 2.408
Ca 0.000 1.838 0.000
H 1.632 6.620 4.961
H 5.209 6.620 4.670
H 0.220 1.632 7.368
H 5.209 0.220 0.145
H 1.651 3.345 9.542
H 3.496 1.651 2.319
H 3.345 5.189 7.134
H 1.651 3.496 4.904
H 5.189 3.345 0.089
H 5.189 3.496 4.727
H 3.345 1.651 7.311
H 3.496 5.189 2.496
H 6.620 1.632 2.262
H 1.632 0.220 9.485
H 6.620 5.209 2.553
H 0.220 5.209 7.078
```

---

An optimized crystal structure of BaPb2S4, computed with GGA-PBE.

Computed properties:
Total magnetization ... 0.00 μB per atom
SG ... Cmcm
Electronic total energy ... -4.45 eV per atom
Energy relative to the elements, uncorrected ... -0.758 eV/atom

Cell and atoms, written as extended XYZ:
```
14
Lattice="4.264 0.000 0.000 -2.132 6.680 0.000 0.000 0.000 13.569" Properties=species:S:1:pos:R:3 pbc="T T T"
Ba 2.132 1.315 10.177
Ba 0.000 5.364 3.392
Pb 0.000 1.791 5.958
Pb 2.132 4.889 12.742
Pb 0.000 1.791 0.827
Pb 2.132 4.889 7.611
S 2.132 3.690 1.561
S 2.132 3.690 5.224
S 0.000 2.990 12.008
S 0.000 2.990 8.345
S 2.132 5.615 10.177
S 0.000 1.065 3.392
S 2.132 0.000 0.000
S 2.132 0.000 6.785
```

---

What did the eighth record say?
An optimized crystal structure of BaPb2S4, computed with GGA-PBE.

Computed properties:
Total magnetization ... 0.00 μB per atom
SG ... Cmcm
Electronic total energy ... -4.45 eV per atom
Energy relative to the elements, uncorrected ... -0.758 eV/atom

Cell and atoms, written as extended XYZ:
```
14
Lattice="4.264 0.000 0.000 -2.132 6.680 0.000 0.000 0.000 13.569" Properties=species:S:1:pos:R:3 pbc="T T T"
Ba 2.132 1.315 10.177
Ba 0.000 5.364 3.392
Pb 0.000 1.791 5.958
Pb 2.132 4.889 12.742
Pb 0.000 1.791 0.827
Pb 2.132 4.889 7.611
S 2.132 3.690 1.561
S 2.132 3.690 5.224
S 0.000 2.990 12.008
S 0.000 2.990 8.345
S 2.132 5.615 10.177
S 0.000 1.065 3.392
S 2.132 0.000 0.000
S 2.132 0.000 6.785
```